Record 1
First-principles (PBE-GGA) data for a relaxed structure of TbPr2Tl, as listed in the Alexandria database.

Output
Final energy: -4.34 eV per atom
DOS at the Fermi energy: 1.576 states/eV per atom

Lattice parameters (Å, degrees): 5.0602 4.9438 4.9438 90.00 90.00 90.00
Fractional positions:
Pr  0.0000  0.0000  0.5000
Pr  0.0000  0.5000  0.0000
Tl  0.5000  0.0000  0.0000
Tb  0.5000  0.5000  0.5000

Record 2
First-principles (PBE-GGA) data for a relaxed structure of RbSb2H2O6, as listed in the Alexandria database.

Output
Final energy: -5.34 eV per atom
DOS at the Fermi energy: 0.118 states/eV per atom

Lattice parameters (Å, degrees): 5.8050 6.9840 5.8010 124.30 104.05 53.18
Fractional positions:
Rb  0.5000  0.0000  0.5000
Sb  0.8242  0.3587  0.8540
Sb  0.1758  0.6413  0.1460
H  0.1865  0.7449  0.6859
H  0.8135  0.2551  0.3141
O  0.3725  0.5561  0.8174
O  0.2014  0.2937  0.0274
O  0.0659  0.8649  0.5976
O  0.7986  0.7063  0.9726
O  0.9341  0.1351  0.4024
O  0.6275  0.4439  0.1826

Record 3
First-principles (PBE-GGA) data for a relaxed structure of LuSn2Au, as listed in the Alexandria database.

Output
Final energy: -3.96 eV per atom
DOS at the Fermi energy: 0.414 states/eV per atom

Lattice parameters (Å, degrees): 3.4663 3.4663 10.5027 80.50 80.50 60.00
Fractional positions:
Lu  0.0000  0.0000  0.0000
Au  0.5000  0.5000  0.5000
Sn  0.0990  0.0990  0.7030
Sn  0.9010  0.9010  0.2970